Here is crystalline Ho4Tc at its relaxed geometry from Alexandria. Energies are from PBE.

abc: 6.371 7.643 6.165
angles: 90.00 108.04 90.00
Positions (direct):
1 Ho 0.229 0.144 0.025
2 Ho 0.229 0.856 0.525
3 Ho 0.257 0.387 0.515
4 Ho 0.257 0.613 0.015
5 Ho 0.743 0.387 0.985
6 Ho 0.743 0.613 0.485
7 Ho 0.771 0.144 0.475
8 Ho 0.771 0.856 0.975
9 Tc 0.500 0.123 0.750
10 Tc 0.500 0.877 0.250

Calculated values
Formation energy ... 39 meV/atom
E ... -5.696 eV/atom
SG ... P2/c (13)